# 1
# Zn6Ga2Ag5 | Alexandria via LeMat-Bulk | PBE | optimized geometry
# - D(E_F): 3.714 states/eV/f.u.
# - Volume: 218.9 Å³/f.u.
# - DFT formation energy: 24 meV per atom
data_Zn6Ga2Ag5
_chemical_formula_sum 'Zn12 Ga4 Ag10'
_cell_length_a 8.719
_cell_length_b 17.372
_cell_length_c 2.891
_cell_angle_alpha 90.00
_cell_angle_beta 90.00
_cell_angle_gamma 90.00
_space_group_name_H-M_alt 'P b a m'
_space_group_IT_number 55
_space_group_name_Hall '-P 2 2ab'
loop_
_atom_site_label
_atom_site_type_symbol
_atom_site_fract_x
_atom_site_fract_y
_atom_site_fract_z
Zn1 Zn 0.119 0.116 0.000
Zn2 Zn 0.123 0.403 0.000
Zn3 Zn 0.134 0.854 0.500
Ga1 Ga 0.130 0.694 0.000
Ag1 Ag 0.000 0.000 0.500
Ag2 Ag 0.119 0.257 0.500
Ag3 Ag 0.147 0.540 0.500

# 2
# Zn5Ga3Ag4 | Alexandria via LeMat-Bulk | PBE | optimized geometry
# - D(E_F): 2.739 states/eV/f.u.
# - Volume: 219.0 Å³/f.u.
# - DFT formation energy: 99 meV per atom
data_Zn5Ga3Ag4
_chemical_formula_sum 'Zn10 Ga6 Ag8'
_cell_length_a 13.090
_cell_length_b 4.718
_cell_length_c 7.172
_cell_angle_alpha 90.00
_cell_angle_beta 98.54
_cell_angle_gamma 90.00
_space_group_name_H-M_alt 'C 1 2/m 1'
_space_group_IT_number 12
_space_group_name_Hall '-C 2y'
loop_
_atom_site_label
_atom_site_type_symbol
_atom_site_fract_x
_atom_site_fract_y
_atom_site_fract_z
Zn1 Zn 0.000 0.000 0.000
Zn2 Zn 0.102 0.500 0.576
Zn3 Zn 0.170 0.500 0.254
Ga1 Ga 0.000 0.500 0.000
Ga2 Ga 0.132 0.000 0.763
Ag1 Ag 0.082 0.000 0.373
Ag2 Ag 0.247 0.000 0.124

# 3
# Zn3GaAg4 | Alexandria via LeMat-Bulk | PBE | optimized geometry
# - D(E_F): 1.319 states/eV/f.u.
# - Relative energy among the computed polymorphs: 0.0 meV/atom
# - Volume: 132.1 Å³/f.u.
# - DFT formation energy: -15 meV per atom
data_Zn3GaAg4
_chemical_formula_sum 'Zn3 Ga1 Ag4'
_cell_length_a 3.092
_cell_length_b 3.092
_cell_length_c 13.812
_cell_angle_alpha 90.00
_cell_angle_beta 90.00
_cell_angle_gamma 90.00
_space_group_name_H-M_alt 'P 4/m m m'
_space_group_IT_number 123
_space_group_name_Hall '-P 4 2'
loop_
_atom_site_label
_atom_site_type_symbol
_atom_site_fract_x
_atom_site_fract_y
_atom_site_fract_z
Zn1 Zn 0.000 0.000 0.000
Zn2 Zn 0.000 0.000 0.242
Ga1 Ga 0.000 0.000 0.500
Ag1 Ag 0.500 0.500 0.121
Ag2 Ag 0.500 0.500 0.366

# 4
# Zn5Ga2Ag5 | Alexandria via LeMat-Bulk | PBE | optimized geometry
# - D(E_F): 2.613 states/eV/f.u.
# - Relative energy among the computed polymorphs: 36.5 meV/atom
# - Volume: 210.3 Å³/f.u.
# - DFT formation energy: 39 meV per atom
data_Zn5Ga2Ag5
_chemical_formula_sum 'Zn10 Ga4 Ag10'
_cell_length_a 13.916
_cell_length_b 2.841
_cell_length_c 11.319
_cell_angle_alpha 90.00
_cell_angle_beta 109.93
_cell_angle_gamma 90.00
_space_group_name_H-M_alt 'C 1 2/m 1'
_space_group_IT_number 12
_space_group_name_Hall '-C 2y'
loop_
_atom_site_label
_atom_site_type_symbol
_atom_site_fract_x
_atom_site_fract_y
_atom_site_fract_z
Zn1 Zn 0.000 0.000 0.000
Zn2 Zn 0.104 0.000 0.342
Zn3 Zn 0.206 0.000 0.182
Ga1 Ga 0.093 0.000 0.741
Ag1 Ag 0.000 0.500 0.500
Ag2 Ag 0.151 0.500 0.961
Ag3 Ag 0.212 0.000 0.593

# 5
# Zn2GaAg2 | Alexandria via LeMat-Bulk | PBE | optimized geometry
# - D(E_F): 1.396 states/eV/f.u.
# - Relative energy among the computed polymorphs: 50.3 meV/atom
# - Volume: 88.8 Å³/f.u.
# - DFT formation energy: 37 meV per atom
data_Zn2GaAg2
_chemical_formula_sum 'Zn4 Ga2 Ag4'
_cell_length_a 7.940
_cell_length_b 7.940
_cell_length_c 2.818
_cell_angle_alpha 90.00
_cell_angle_beta 90.00
_cell_angle_gamma 90.00
_space_group_name_H-M_alt 'P 4/m b m'
_space_group_IT_number 127
_space_group_name_Hall '-P 4 2ab'
loop_
_atom_site_label
_atom_site_type_symbol
_atom_site_fract_x
_atom_site_fract_y
_atom_site_fract_z
Zn1 Zn 0.170 0.330 0.000
Ga1 Ga 0.000 0.000 0.500
Ag1 Ag 0.129 0.629 0.500

# 6
# Zn5Ga5Ag2 | Alexandria via LeMat-Bulk | PBE | optimized geometry
# - D(E_F): 2.810 states/eV/f.u.
# - Relative energy among the computed polymorphs: 14.5 meV/atom
# - Volume: 208.7 Å³/f.u.
# - DFT formation energy: 52 meV per atom
data_Zn5Ga5Ag2
_chemical_formula_sum 'Zn10 Ga10 Ag4'
_cell_length_a 13.365
_cell_length_b 2.903
_cell_length_c 11.042
_cell_angle_alpha 90.00
_cell_angle_beta 103.06
_cell_angle_gamma 90.00
_space_group_name_H-M_alt 'C 1 2/m 1'
_space_group_IT_number 12
_space_group_name_Hall '-C 2y'
loop_
_atom_site_label
_atom_site_type_symbol
_atom_site_fract_x
_atom_site_fract_y
_atom_site_fract_z
Zn1 Zn 0.000 0.000 0.000
Zn2 Zn 0.153 0.500 0.153
Zn3 Zn 0.169 0.000 0.658
Ga1 Ga 0.000 0.500 0.500
Ga2 Ga 0.177 0.000 0.406
Ga3 Ga 0.179 0.500 0.899
Ag1 Ag 0.003 0.000 0.759

# 7
# Zn2Ga6Ag3 | Alexandria via LeMat-Bulk | PBE | optimized geometry
# - D(E_F): 3.613 states/eV/f.u.
# - Volume: 192.0 Å³/f.u.
# - DFT formation energy: 11 meV per atom
data_Zn2Ga6Ag3
_chemical_formula_sum 'Zn6 Ga18 Ag9'
_cell_length_a 3.0406
_cell_length_b 3.0406
_cell_length_c 71.9417
_cell_angle_alpha 90.00
_cell_angle_beta 90.00
_cell_angle_gamma 120.00
_space_group_name_H-M_alt 'R -3 m'
_space_group_IT_number 166
_space_group_name_Hall '-R 3 2"'
loop_
_atom_site_label
_atom_site_type_symbol
_atom_site_fract_x
_atom_site_fract_y
_atom_site_fract_z
Zn1 Zn 0.0000 0.0000 0.0439
Ga1 Ga 0.0000 0.0000 0.1357
Ga2 Ga 0.0000 0.0000 0.3185
Ga3 Ga 0.0000 0.0000 0.4072
Ag1 Ag 0.0000 0.0000 0.2286
Ag2 Ag 0.0000 0.0000 0.5000

# 8
# Zn2Ga2Ag | Alexandria via LeMat-Bulk | PBE | optimized geometry
# - D(E_F): 1.964 states/eV/f.u.
# - Relative energy among the computed polymorphs: 34.1 meV/atom
# - Volume: 89.6 Å³/f.u.
# - DFT formation energy: 113 meV per atom
data_Zn2Ga2Ag
_chemical_formula_sum 'Zn4 Ga4 Ag2'
_cell_length_a 3.783
_cell_length_b 3.783
_cell_length_c 12.526
_cell_angle_alpha 90.00
_cell_angle_beta 90.00
_cell_angle_gamma 90.00
_space_group_name_H-M_alt 'I 4/m m m'
_space_group_IT_number 139
_space_group_name_Hall '-I 4 2'
loop_
_atom_site_label
_atom_site_type_symbol
_atom_site_fract_x
_atom_site_fract_y
_atom_site_fract_z
Zn1 Zn 0.000 0.000 0.097
Ga1 Ga 0.000 0.500 0.250
Ag1 Ag 0.000 0.000 0.500

# 9
# Zn5Ga4Ag | Alexandria via LeMat-Bulk | PBE | optimized geometry
# - D(E_F): 4.411 states/eV/f.u.
# - Relative energy among the computed polymorphs: 10.5 meV/atom
# - Volume: 175.0 Å³/f.u.
# - DFT formation energy: 51 meV per atom
data_Zn5Ga4Ag
_chemical_formula_sum 'Zn10 Ga8 Ag2'
_cell_length_a 8.241
_cell_length_b 9.243
_cell_length_c 4.594
_cell_angle_alpha 90.00
_cell_angle_beta 90.00
_cell_angle_gamma 90.00
_space_group_name_H-M_alt 'P m m n'
_space_group_IT_number 59
loop_
_space_group_symop_operation_xyz
'x,y,z'
'-x,-y,-z'
'-x+1/2,-y+1/2,z'
'x+1/2,y+1/2,-z'
'x+1/2,-y,-z'
'-x+1/2,y,z'
'-x,y+1/2,-z'
'x,-y+1/2,z'
loop_
_atom_site_label
_atom_site_type_symbol
_atom_site_fract_x
_atom_site_fract_y
_atom_site_fract_z
Zn1 Zn 0.080 0.013 0.250
Zn2 Zn 0.250 0.250 0.127
Ga1 Ga 0.080 0.250 0.637
Ga2 Ga 0.250 0.583 0.764
Ag1 Ag 0.250 0.750 0.258

# 10
# Zn3GaAg6 | Alexandria via LeMat-Bulk | PBE | optimized geometry
# - D(E_F): 2.072 states/eV/f.u.
# - Relative energy among the computed polymorphs: 0.0 meV/atom
# - Volume: 170.6 Å³/f.u.
# - DFT formation energy: 3 meV per atom
data_Zn3GaAg6
_chemical_formula_sum 'Zn6 Ga2 Ag12'
_cell_length_a 10.503
_cell_length_b 2.871
_cell_length_c 11.551
_cell_angle_alpha 90.00
_cell_angle_beta 101.62
_cell_angle_gamma 90.00
_space_group_name_H-M_alt 'P 1 21/m 1'
_space_group_IT_number 11
_space_group_name_Hall '-P 2yb'
loop_
_atom_site_label
_atom_site_type_symbol
_atom_site_fract_x
_atom_site_fract_y
_atom_site_fract_z
Zn1 Zn 0.079 0.250 0.088
Zn2 Zn 0.367 0.750 0.496
Zn3 Zn 0.421 0.250 0.898
Ga1 Ga 0.041 0.250 0.716
Ag1 Ag 0.122 0.250 0.477
Ag2 Ag 0.189 0.750 0.919
Ag3 Ag 0.215 0.750 0.280
Ag4 Ag 0.264 0.750 0.694
Ag5 Ag 0.352 0.250 0.114
Ag6 Ag 0.495 0.750 0.317

# 11
# ZnGaAg3 | Alexandria via LeMat-Bulk | PBE | optimized geometry
# - D(E_F): 1.533 states/eV/f.u.
# - Relative energy among the computed polymorphs: 16.7 meV/atom
# - Volume: 93.4 Å³/f.u.
# - DFT formation energy: 67 meV per atom
data_ZnGaAg3
_chemical_formula_sum 'Zn4 Ga4 Ag12'
_cell_length_a 9.012
_cell_length_b 7.936
_cell_length_c 5.223
_cell_angle_alpha 90.00
_cell_angle_beta 90.00
_cell_angle_gamma 90.00
_space_group_name_H-M_alt 'I m a 2'
_space_group_IT_number 46
_space_group_name_Hall 'I 2 -2a'
loop_
_atom_site_label
_atom_site_type_symbol
_atom_site_fract_x
_atom_site_fract_y
_atom_site_fract_z
Zn1 Zn 0.250 0.165 0.000
Ga1 Ga 0.250 0.656 0.499
Ag1 Ag 0.000 0.185 0.708
Ag2 Ag 0.250 0.000 0.469

# 12
# Zn5GaAg2 | Alexandria via LeMat-Bulk | PBE | optimized geometry
# - D(E_F): 2.131 states/eV/f.u.
# - Volume: 128.5 Å³/f.u.
# - DFT formation energy: 25 meV per atom
data_Zn5GaAg2
_chemical_formula_sum 'Zn10 Ga2 Ag4'
_cell_length_a 6.381
_cell_length_b 6.381
_cell_length_c 6.310
_cell_angle_alpha 90.00
_cell_angle_beta 90.00
_cell_angle_gamma 90.00
_space_group_name_H-M_alt 'I 4 m m'
_space_group_IT_number 107
_space_group_name_Hall 'I 4 -2'
loop_
_atom_site_label
_atom_site_type_symbol
_atom_site_fract_x
_atom_site_fract_y
_atom_site_fract_z
Zn1 Zn 0.000 0.000 0.000
Zn2 Zn 0.222 0.222 0.705
Ga1 Ga 0.000 0.000 0.409
Ag1 Ag 0.000 0.500 0.454